The following is a PBE calculation of a geometry-optimized TbNd4Tm7 structure, from the Alexandria database.

* calculated total energy: -4.313 eV/atom
* crystal system: monoclinic

Cell and atoms, written as POSCAR:
```
TbNd4Tm7
1.0
5.8613 0.0000 0.0000
2.9307 11.2552 -0.3186
2.9307 0.1904 6.0373
Tm Tb Nd
7 1 4
Direct
0.7883 0.9237 0.4997
0.5000 0.0000 0.0000
0.6322 0.5062 0.2294
0.2117 0.0763 0.5003
0.3678 0.4938 0.7706
0.9300 0.3102 0.8298
0.0700 0.6898 0.1702
0.0000 0.0000 0.0000
0.2197 0.3362 0.2243
0.7803 0.6638 0.7757
0.6393 0.2225 0.4989
0.3607 0.7775 0.5011
```